{
  "formula": "Zn2CdBi2",
  "functional": "GGA-PBE",
  "state": "optimized geometry",
  "lattice_angstrom": [[3.986, 0.000, 0.000], [0.000, 3.986, 0.000], [1.993, 1.993, 8.169]],
  "species": ["Zn", "Bi", "Bi", "Zn", "Cd"],
  "frac_coords": [[0.750, 0.250, 0.500], [0.379, 0.379, 0.242], [0.621, 0.621, 0.758], [0.250, 0.750, 0.500], [0.000, 0.000, 0.000]],
  "polymorph_energy_mev_per_atom": 0,
  "final_energy_ev_per_atom": -2.131,
  "ef_ev_per_fu": 0.6,
  "m_tot_mub_per_cell": 0.000,
  "space_group": "No. 139"
}

=====

{
  "formula": "AgMoS2Br",
  "functional": "GGA-PBE",
  "state": "optimized geometry",
  "lattice_angstrom": [[-0.660, -3.247, 3.226], [0.328, -4.251, -4.211], [4.570, -0.287, 0.645]],
  "species": ["S", "Ag", "Mo", "S", "Br"],
  "frac_coords": [[0.000, 0.000, 0.500], [0.000, 0.000, 0.000], [0.000, 0.500, 0.000], [0.500, 0.000, 0.000], [0.500, 0.500, 0.500]],
  "formation_energy_uncorrected_ev_per_atom": 1.14,
  "final_energy_ev_per_atom": -3.577,
  "m_tot_mub_per_cell": 4.021,
  "space_group": "No. 123"
}

=====

{
  "formula": "KCrAgTe3",
  "functional": "GGA-PBE",
  "state": "optimized geometry",
  "lattice_angstrom": [[-0.805, -1.367, -3.741], [-7.365, -3.874, 2.999], [-1.758, 9.944, -3.254]],
  "species": ["Te", "K", "Ag", "Cr", "Te", "Te", "Ag", "Te", "K", "Te", "Te", "Cr"],
  "frac_coords": [[0.750, 0.276, 0.577], [0.750, 0.765, 0.721], [0.250, 0.062, 0.605], [0.750, 0.321, 0.848], [0.750, 0.872, 0.119], [0.250, 0.128, 0.881], [0.750, 0.938, 0.395], [0.750, 0.458, 0.128], [0.250, 0.235, 0.279], [0.250, 0.724, 0.423], [0.250, 0.542, 0.872], [0.250, 0.679, 0.152]],
  "formation_energy_uncorrected_ev_per_atom": -0.40,
  "final_energy_ev_per_atom": -4.231,
  "m_tot_mub_per_cell": 5.070,
  "space_group": "No. 11"
}